(1)
{"formula": "Ce2Ho5Pb4", "functional": "PBE", "state": "optimized geometry", "magnetic_moment_mub_per_cell": 2.1, "rho_kg_m3": 9396, "delta_e_f_ev_per_atom": -0.02, "vol_a3_per_atom": 31.07, "dos_at_fermi_per_ev_cell": 19.64, "dft_energy_ev_per_atom": -4.533, "lattice_angstrom": [[-1.316, 1.392, 2.826], [-7.461, 0.992, -3.962], [5.373, -12.430, 6.563]], "species": ["Ce", "Ce", "Ho", "Ho", "Ho", "Ho", "Ho", "Pb", "Pb", "Pb", "Pb"], "fractional_positions": [[0.044, 0.702, 0.087], [0.956, 0.298, 0.913], [0.186, 0.898, 0.371], [0.814, 0.102, 0.629], [0.146, 0.222, 0.293], [0.500, 0.000, 0.000], [0.854, 0.778, 0.707], [0.721, 0.641, 0.441], [0.915, 0.572, 0.830], [0.279, 0.359, 0.559], [0.085, 0.428, 0.170]]}

***

(2)
{"formula": "Ce2Ho3Pb4", "functional": "PBE", "state": "optimized geometry", "magnetic_moment_mub_per_cell": 4.8, "rho_kg_m3": 9492, "delta_e_f_ev_per_atom": -0.36, "vol_a3_per_atom": 31.18, "dos_at_fermi_per_ev_cell": 37.79, "dft_energy_ev_per_atom": -4.857, "lattice_angstrom": [[-6.583, 0.619, 2.794], [3.508, -0.257, 8.323], [4.074, 8.307, -1.460]], "species": ["Ce", "Ce", "Ce", "Ce", "Ho", "Ho", "Ho", "Ho", "Ho", "Ho", "Pb", "Pb", "Pb", "Pb", "Pb", "Pb", "Pb", "Pb"], "fractional_positions": [[0.111, 0.587, 0.222], [0.889, 0.413, 0.778], [0.389, 0.087, 0.778], [0.611, 0.913, 0.222], [0.000, 0.000, 0.000], [0.500, 0.500, 0.000], [0.543, 0.750, 0.585], [0.957, 0.250, 0.415], [0.457, 0.250, 0.415], [0.043, 0.750, 0.585], [0.719, 0.750, 0.938], [0.781, 0.250, 0.062], [0.281, 0.250, 0.062], [0.219, 0.750, 0.938], [0.185, 0.945, 0.371], [0.815, 0.055, 0.629], [0.315, 0.445, 0.629], [0.685, 0.555, 0.371]]}

***

(3)
{"formula": "CeHo5Pb6", "functional": "PBE", "state": "optimized geometry", "magnetic_moment_mub_per_cell": 1.0, "rho_kg_m3": 10305, "delta_e_f_ev_per_atom": -0.40, "vol_a3_per_atom": 29.65, "dos_at_fermi_per_ev_cell": 13.99, "dft_energy_ev_per_atom": -4.658, "lattice_angstrom": [[-8.512, -0.339, 1.353], [-3.880, -0.140, -4.786], [-1.636, -7.795, -2.414]], "species": ["Ce", "Ho", "Ho", "Ho", "Ho", "Ho", "Pb", "Pb", "Pb", "Pb", "Pb", "Pb"], "fractional_positions": [[0.000, 0.000, 0.000], [0.500, 0.160, 0.681], [0.000, 0.329, 0.342], [0.500, 0.500, 0.000], [0.000, 0.671, 0.658], [0.500, 0.840, 0.319], [0.741, 0.091, 0.340], [0.259, 0.569, 0.340], [0.241, 0.271, 0.000], [0.759, 0.729, 0.000], [0.741, 0.431, 0.660], [0.259, 0.909, 0.660]]}